Density functional theory data (SCAN) for a PBEsol-optimized structure of GdRu2.

It has space group Fd-3m (No. 227, origin choice 2), with a = 7.459 Å, b = 7.459 Å, c = 7.459 Å, α = 90.00°, β = 90.00° and γ = 90.00°. The distinct sites, in fractional coordinates, are Gd at (0.125, 0.125, 0.125) and Ru at (0.000, 0.000, 0.500).

For the volume, the calculation gives 17.29 Å³/atom. For the total energy, the calculation gives -43.09 eV per atom. The total moment is 52.3 Bohr magnetons per cell.

Density functional theory data (SCAN) for a PBEsol-optimized structure of GdSiRu.

It has space group P4/nmm (No. 129, origin choice 2), with a = 4.160 Å, b = 4.160 Å, c = 6.566 Å, α = 90.00°, β = 90.00° and γ = 90.00°. The distinct sites, in fractional coordinates, are Gd at (0.250, 0.250, 0.177), Si at (0.250, 0.250, 0.687) and Ru at (0.250, 0.750, 0.500).

The raw formation energy comes out at -0.8710 eV/atom. For the volume, the calculation gives 18.94 Å³/atom. The total moment is 15.5 Bohr magnetons per cell.

Density functional theory data (SCAN) for a PBEsol-optimized structure of GdYRu2.

It has space group Fm-3m (No. 225), with a = 6.712 Å, b = 6.712 Å, c = 6.712 Å, α = 90.00°, β = 90.00° and γ = 90.00°. The distinct sites, in fractional coordinates, are Gd at (0.000, 0.000, 0.000), Y at (0.000, 0.000, 0.500) and Ru at (0.250, 0.250, 0.250).

For the volume, the calculation gives 18.90 Å³/atom. For the total energy, the calculation gives -39.38 eV per atom. The total moment is 28.4 Bohr magnetons per cell.

Density functional theory data (SCAN) for a PBEsol-optimized structure of Gd2ZnRu.

It has space group Fm-3m (No. 225), with a = 6.883 Å, b = 6.883 Å, c = 6.883 Å, α = 90.00°, β = 90.00° and γ = 90.00°. The distinct sites, in fractional coordinates, are Gd at (0.250, 0.250, 0.250), Zn at (0.000, 0.000, 0.000) and Ru at (0.000, 0.000, 0.500).

For the volume, the calculation gives 20.38 Å³/atom. For the total energy, the calculation gives -41.84 eV per atom. The total moment is 57.3 Bohr magnetons per cell.

Density functional theory data (SCAN) for a PBEsol-optimized structure of GdZrRu2.

It has space group Fm-3m (No. 225), with a = 6.585 Å, b = 6.585 Å, c = 6.585 Å, α = 90.00°, β = 90.00° and γ = 90.00°. The distinct sites, in fractional coordinates, are Gd at (0.000, 0.000, 0.000), Zr at (0.000, 0.000, 0.500) and Ru at (0.250, 0.250, 0.250).

For the volume, the calculation gives 17.84 Å³/atom. For the total energy, the calculation gives -40.30 eV per atom. The total moment is 28.3 Bohr magnetons per cell.

Density functional theory data (SCAN) for a PBEsol-optimized structure of Gd3S4.

It has space group I-43d (No. 220), with a = 8.265 Å, b = 8.265 Å, c = 8.265 Å, α = 90.00°, β = 90.00° and γ = 90.00°. The distinct sites, in fractional coordinates, are Gd at (0.000, 0.250, 0.375) and S at (0.074, 0.074, 0.074).

The raw formation energy comes out at -2.2314 eV/atom. For the volume, the calculation gives 20.16 Å³/atom. The total moment is 86.9 Bohr magnetons per cell.

Density functional theory data (SCAN) for a PBEsol-optimized structure of Gd2S3.

It has space group Pnma (No. 62), with a = 7.241 Å, b = 3.895 Å, c = 15.051 Å, α = 90.00°, β = 90.00° and γ = 90.00°. The distinct sites, in fractional coordinates, are Gd at (0.140, 0.250, 0.205), Gd at (0.234, 0.750, 0.457), S at (0.007, 0.250, 0.391), S at (0.125, 0.750, 0.068) and S at (0.149, 0.250, 0.781).

The raw formation energy comes out at -2.3005 eV/atom. For the volume, the calculation gives 21.22 Å³/atom. The total moment is 56.0 Bohr magnetons per cell.

Density functional theory data (SCAN) for a PBEsol-optimized structure of Gd4Si3S12.

It has space group R3c (No. 161, hexagonal axes), with a = 18.7211 Å, b = 18.7211 Å, c = 7.6774 Å, α = 90.00°, β = 90.00° and γ = 120.00°. The distinct sites, in fractional coordinates, are Gd at (0.0000, 0.0000, 0.0000), Gd at (0.1047, 0.4325, 0.4537), Si at (0.0133, 0.1992, 0.3423), S at (0.0030, 0.2724, 0.1426), S at (0.0457, 0.4868, 0.1705), S at (0.0612, 0.1241, 0.7497) and S at (0.2022, 0.0872, 0.4971).

The raw formation energy comes out at -1.5787 eV/atom. For the volume, the calculation gives 20.44 Å³/atom. The total moment is 83.9 Bohr magnetons per cell.